Compound: Sm4Br5N2
Source: OQMD
Functional: PBE-GGA
Structure: optimized geometry

Cell: 9.5840 9.5840 8.2408 Å, 104.35 104.35 22.20°
Sites, in units of the cell vectors:
Sm1 0.0005 0.0005 0.1951
Sm2 0.3386 0.3386 0.9004
Sm3 0.6614 0.6614 0.0996
Sm4 0.9995 0.9995 0.8049
Br1 0.1597 0.1597 0.3769
Br2 0.1693 0.1693 0.8178
Br3 0.5000 0.5000 0.5000
Br4 0.8307 0.8307 0.1822
Br5 0.8403 0.8403 0.6231
N1 0.4620 0.4620 0.9784
N2 0.5380 0.5380 0.0216

Results
- final energy (eV/atom) = -5.45

***

Compound: Sm4Br5N
Source: OQMD
Functional: PBE-GGA
Structure: optimized geometry

Cell: 9.1639 9.1639 8.2438 Å, 102.94 102.94 24.15°
Sites, in units of the cell vectors:
Sm1 0.0014 0.0014 0.2990
Sm2 0.3621 0.3621 0.4287
Sm3 0.6379 0.6379 0.5713
Sm4 0.9986 0.9986 0.7010
Br1 0.1638 0.1638 0.8445
Br2 0.1709 0.1709 0.3235
Br3 0.5000 0.5000 0.0000
Br4 0.8291 0.8291 0.6765
Br5 0.8362 0.8362 0.1555
N1 0.5000 0.5000 0.5000

Results
- final energy (eV/atom) = -5.18

***

Compound: SmUBr3N
Source: OQMD
Functional: PBE-GGA
Structure: optimized geometry

Cell: 9.3037 9.3037 11.6353 Å, 123.25 123.25 23.99°
Sites, in units of the cell vectors:
Sm1 0.0774 0.0774 0.4576
Sm2 0.9226 0.9226 0.5424
U1 0.3653 0.3653 0.2197
U2 0.6347 0.6347 0.7803
Br1 0.1652 0.1652 0.0106
Br2 0.2762 0.2762 0.3765
Br3 0.4621 0.4621 0.7630
Br4 0.5379 0.5379 0.2370
Br5 0.7238 0.7238 0.6235
Br6 0.8348 0.8348 0.9894
N1 0.0796 0.0796 0.6629
N2 0.9204 0.9204 0.3371

Results
- final energy (eV/atom) = -6.42

***

Compound: Sm2Y2Br5N
Source: OQMD
Functional: PBE-GGA
Structure: optimized geometry

Cell: 9.1050 9.1050 8.2096 Å, 102.83 102.83 24.11°
Sites, in units of the cell vectors:
Sm1 0.0010 0.0010 0.2983
Sm2 0.9990 0.9990 0.7017
Y1 0.3646 0.3646 0.4307
Y2 0.6354 0.6354 0.5693
Br1 0.1665 0.1665 0.8371
Br2 0.1720 0.1720 0.3316
Br3 0.5000 0.5000 0.0000
Br4 0.8280 0.8280 0.6684
Br5 0.8335 0.8335 0.1629
N1 0.5000 0.5000 0.5000

Results
- final energy (eV/atom) = -5.52

***

Compound: TlW2Br6N2
Source: OQMD
Functional: PBE-GGA
Structure: optimized geometry

Cell: 7.2897 7.2897 11.2883 Å, 106.12 106.12 30.06°
Sites, in units of the cell vectors:
Tl1 0.0000 0.0000 0.0000
W1 0.4970 0.4970 0.3503
W2 0.5030 0.5030 0.6497
Br1 0.3489 0.3489 0.4485
Br2 0.3652 0.3652 0.1427
Br3 0.3742 0.3742 0.7671
Br4 0.6258 0.6258 0.2329
Br5 0.6348 0.6348 0.8573
Br6 0.6511 0.6511 0.5515
N1 0.0013 0.0013 0.6278
N2 0.9987 0.9987 0.3722

Results
- final energy (eV/atom) = -5.37

***

Compound: YUBr3N
Source: OQMD
Functional: PBE-GGA
Structure: optimized geometry

Cell: 9.4354 9.4354 11.7039 Å, 124.12 124.12 23.48°
Sites, in units of the cell vectors:
Y1 0.0740 0.0740 0.4597
Y2 0.9260 0.9260 0.5403
U1 0.3656 0.3656 0.2203
U2 0.6344 0.6344 0.7797
Br1 0.1658 0.1658 0.0111
Br2 0.2827 0.2827 0.3814
Br3 0.4616 0.4616 0.7544
Br4 0.5384 0.5384 0.2456
Br5 0.7173 0.7173 0.6186
Br6 0.8342 0.8342 0.9889
N1 0.0778 0.0778 0.6596
N2 0.9222 0.9222 0.3404

Results
- final energy (eV/atom) = -6.72

***

Compound: NaNbBr4O
Source: OQMD
Functional: PBE-GGA
Structure: optimized geometry

Cell: 7.1385 7.1385 7.3199 Å, 106.29 106.29 32.68°
Sites, in units of the cell vectors:
Na1 0.0000 0.0000 0.0000
Nb1 0.5538 0.4462 0.5000
Br1 0.3481 0.3697 0.1823
Br2 0.3588 0.3768 0.6863
Br3 0.6232 0.6412 0.3137
Br4 0.6303 0.6519 0.8177
O1 0.0015 0.9985 0.5000

Results
- final energy (eV/atom) = -4.67

***

Compound: NaTl2NiBr6
Source: OQMD
Functional: PBE-GGA
Structure: optimized geometry

Cell: 8.3174 8.3174 5.4473 Å, 94.39 94.39 54.26°
Sites, in units of the cell vectors:
Na1 0.0000 0.0000 0.0000
Tl1 0.3119 0.3119 0.8103
Tl2 0.6881 0.6881 0.1897
Ni1 0.5000 0.5000 0.5000
Br1 0.1837 0.1837 0.2197
Br2 0.2005 0.6366 0.2742
Br3 0.3634 0.7995 0.7258
Br4 0.6366 0.2005 0.2742
Br5 0.7995 0.3634 0.7258
Br6 0.8163 0.8163 0.7803

Results
- final energy (eV/atom) = -2.83

***

Compound: Na2NpBr6
Source: OQMD
Functional: PBE-GGA
Structure: optimized geometry

Cell: 6.9092 6.9092 12.9642 Å, 90.00 90.00 90.00°
Sites, in units of the cell vectors:
Na1 0.0000 0.0000 0.1658
Na2 0.0000 0.0000 0.8342
Na3 0.5000 0.5000 0.3342
Na4 0.5000 0.5000 0.6658
Np1 0.0000 0.0000 0.5000
Np2 0.5000 0.5000 0.0000
Br1 0.1942 0.1942 0.3437
Br2 0.1942 0.1942 0.6563
Br3 0.2154 0.2154 0.0000
Br4 0.2846 0.7154 0.5000
Br5 0.3058 0.6942 0.1563
Br6 0.3058 0.6942 0.8437
Br7 0.6942 0.3058 0.1563
Br8 0.6942 0.3058 0.8437
Br9 0.7154 0.2846 0.5000
Br10 0.7846 0.7846 0.0000
Br11 0.8058 0.8058 0.3437
Br12 0.8058 0.8058 0.6563

Results
- final energy (eV/atom) = -4.23

***

Compound: Na3PdBr6
Source: OQMD
Functional: PBE-GGA
Structure: optimized geometry

Cell: 7.4856 7.4856 7.4856 Å, 60.00 60.00 60.00°
Sites, in units of the cell vectors:
Na1 0.0000 0.0000 0.0000
Na2 0.2500 0.2500 0.2500
Na3 0.7500 0.7500 0.7500
Pd1 0.5000 0.5000 0.5000
Br1 0.2607 0.2607 0.7393
Br2 0.2607 0.7393 0.2607
Br3 0.2607 0.7393 0.7393
Br4 0.7393 0.2607 0.2607
Br5 0.7393 0.2607 0.7393
Br6 0.7393 0.7393 0.2607

Results
- final energy (eV/atom) = -2.77

***

Compound: Na2PdBr6
Source: OQMD
Functional: PBE-GGA
Structure: optimized geometry

Cell: 7.0142 7.3037 12.1462 Å, 90.00 124.95 90.00°
Sites, in units of the cell vectors:
Na1 0.2085 0.1085 0.2320
Na2 0.2085 0.3915 0.7320
Na3 0.7915 0.6085 0.2680
Na4 0.7915 0.8915 0.7680
Pd1 0.5000 0.0000 0.0000
Pd2 0.5000 0.5000 0.5000
Br1 0.1487 0.1841 0.9355
Br2 0.1487 0.3159 0.4355
Br3 0.2801 0.7095 0.9597
Br4 0.2801 0.7905 0.4597
Br5 0.3692 0.0002 0.7598
Br6 0.3692 0.4998 0.2598
Br7 0.6308 0.9998 0.2402
Br8 0.6308 0.5002 0.7402
Br9 0.7199 0.2095 0.5403
Br10 0.7199 0.2905 0.0403
Br11 0.8513 0.6841 0.5645
Br12 0.8513 0.8159 0.0645

Results
- final energy (eV/atom) = -2.79

***

Compound: Na2PtBr6
Source: OQMD
Functional: PBE-GGA
Structure: optimized geometry

Cell: 7.2264 7.2264 7.2264 Å, 120.24 120.24 89.59°
Sites, in units of the cell vectors:
Na1 0.2500 0.7500 0.5000
Na2 0.7500 0.2500 0.5000
Pt1 0.0000 0.0000 0.0000
Br1 0.1623 0.6927 0.8550
Br2 0.2437 0.2437 0.0000
Br3 0.3073 0.1623 0.4697
Br4 0.6927 0.8377 0.5303
Br5 0.7563 0.7563 0.0000
Br6 0.8377 0.3073 0.1450

Results
- excess energy over the best structure of this formula in the dataset (kJ per mole of atoms) = 0.0

***

Compound: Na2PtBr6
Source: OQMD
Functional: PBE-GGA
Structure: optimized geometry

Cell: 7.2113 7.2113 7.2113 Å, 119.37 119.37 91.10°
Sites, in units of the cell vectors:
Na1 0.2500 0.7500 0.5000
Na2 0.7500 0.2500 0.5000
Pt1 0.0000 0.0000 0.0000
Br1 0.2418 0.2418 0.4835
Br2 0.2418 0.7582 0.0000
Br3 0.2464 0.2464 0.0000
Br4 0.7536 0.7536 0.0000
Br5 0.7582 0.2418 0.0000
Br6 0.7582 0.7582 0.5165

Results
- excess energy over the best structure of this formula in the dataset (kJ per mole of atoms) = 3.9

***

Compound: NaPu2Br6
Source: OQMD
Functional: PBE-GGA
Structure: optimized geometry

Cell: 6.9570 6.9570 13.2765 Å, 90.00 90.00 90.00°
Sites, in units of the cell vectors:
Na1 0.0000 0.0000 0.0000
Na2 0.5000 0.5000 0.5000
Pu1 0.0000 0.0000 0.3333
Pu2 0.0000 0.0000 0.6667
Pu3 0.5000 0.5000 0.1667
Pu4 0.5000 0.5000 0.8333
Br1 0.1946 0.1946 0.5000
Br2 0.2009 0.2009 0.1696
Br3 0.2009 0.2009 0.8304
Br4 0.2991 0.7009 0.3304
Br5 0.2991 0.7009 0.6696
Br6 0.3054 0.6946 0.0000
Br7 0.6946 0.3054 0.0000
Br8 0.7009 0.2991 0.3304
Br9 0.7009 0.2991 0.6696
Br10 0.7991 0.7991 0.1696
Br11 0.7991 0.7991 0.8304
Br12 0.8054 0.8054 0.5000

Results
- final energy (eV/atom) = -5.98

***

Compound: Rb2NaTcBr6
Source: OQMD
Functional: PBE-GGA
Structure: optimized geometry

Cell: 7.6878 7.6878 7.6878 Å, 60.00 60.00 60.00°
Sites, in units of the cell vectors:
Rb1 0.2500 0.2500 0.2500
Rb2 0.7500 0.7500 0.7500
Na1 0.0000 0.0000 0.0000
Tc1 0.5000 0.5000 0.5000
Br1 0.2644 0.2644 0.7356
Br2 0.2644 0.7356 0.2644
Br3 0.2644 0.7356 0.7356
Br4 0.7356 0.2644 0.2644
Br5 0.7356 0.2644 0.7356
Br6 0.7356 0.7356 0.2644

Results
- final energy (eV/atom) = -3.47

***

Compound: Rb2NaTcBr6
Source: OQMD
Functional: PBE-GGA
Structure: optimized geometry

Cell: 7.6924 7.6924 7.6925 Å, 119.97 119.97 60.04°
Sites, in units of the cell vectors:
Rb1 0.2497 0.2497 0.2494
Rb2 0.7503 0.7503 0.7506
Na1 0.0000 0.0000 0.5000
Tc1 0.5000 0.5000 0.0000
Br1 0.2643 0.7345 0.2348
Br2 0.2648 0.2648 0.7637
Br3 0.2655 0.7357 0.7652
Br4 0.7345 0.2643 0.2348
Br5 0.7352 0.7352 0.2363
Br6 0.7357 0.2655 0.7652

Results
- final energy (eV/atom) = -3.47

***

Compound: NaTc12Br25
Source: OQMD
Functional: PBE-GGA
Structure: optimized geometry

Cell: 9.7803 10.8843 11.5379 Å, 84.16 74.45 87.76°
Sites, in units of the cell vectors:
Na1 0.0000 0.0000 0.0000
Tc1 0.2526 0.1192 0.2804
Tc2 0.2681 0.2955 0.4275
Tc3 0.3269 0.2537 0.1225
Tc4 0.3450 0.4282 0.2669
Tc5 0.4328 0.7259 0.8083
Tc6 0.4903 0.1422 0.3527
Tc7 0.5097 0.8578 0.6473
Tc8 0.5672 0.2741 0.1917
Tc9 0.6550 0.5718 0.7331
Tc10 0.6731 0.7463 0.8775
Tc11 0.7319 0.7045 0.5725
Tc12 0.7474 0.8808 0.7196
Br1 0.0393 0.2175 0.4087
Br2 0.0955 0.9627 0.2339
Br3 0.1342 0.4051 0.6020
Br4 0.1456 0.4234 0.1682
Br5 0.1666 0.7415 0.8829
Br6 0.2295 0.2068 0.9488
Br7 0.2726 0.6425 0.3172
Br8 0.2985 0.9692 0.5940
Br9 0.4086 0.5313 0.7191
Br10 0.4409 0.8405 0.9816
Br11 0.4422 0.9572 0.2597
Br12 0.4705 0.2756 0.5203
Br13 0.5000 0.5000 0.0000
Br14 0.5295 0.7244 0.4797
Br15 0.5578 0.0428 0.7403
Br16 0.5591 0.1595 0.0184
Br17 0.5914 0.4687 0.2809
Br18 0.7015 0.0308 0.4060
Br19 0.7274 0.3575 0.6828
Br20 0.7705 0.7932 0.0512
Br21 0.8334 0.2585 0.1171
Br22 0.8544 0.5766 0.8318
Br23 0.8658 0.5949 0.3980
Br24 0.9045 0.0373 0.7661
Br25 0.9607 0.7825 0.5913

Results
- final energy (eV/atom) = -4.86

***

Compound: Na2TcBr6
Source: OQMD
Functional: PBE-GGA
Structure: optimized geometry

Cell: 6.9798 7.3686 12.2257 Å, 90.00 123.20 90.00°
Sites, in units of the cell vectors:
Na1 0.1983 0.0947 0.2355
Na2 0.1983 0.4053 0.7355
Na3 0.8017 0.5947 0.2645
Na4 0.8017 0.9053 0.7645
Tc1 0.5000 0.0000 0.0000
Tc2 0.5000 0.5000 0.5000
Br1 0.1497 0.1856 0.9419
Br2 0.1497 0.3144 0.4419
Br3 0.2678 0.7099 0.9406
Br4 0.2678 0.7901 0.4406
Br5 0.3927 0.0301 0.7662
Br6 0.3927 0.4699 0.2662
Br7 0.6073 0.5301 0.7338
Br8 0.6073 0.9699 0.2338
Br9 0.7322 0.2099 0.5594
Br10 0.7322 0.2901 0.0594
Br11 0.8503 0.6856 0.5581
Br12 0.8503 0.8144 0.0581

Results
- final energy (eV/atom) = -3.47

***

Compound: NaTl2TcBr6
Source: OQMD
Functional: PBE-GGA
Structure: optimized geometry

Cell: 7.6074 7.6074 7.6074 Å, 60.00 60.00 60.00°
Sites, in units of the cell vectors:
Na1 0.0000 0.0000 0.0000
Tl1 0.2500 0.2500 0.2500
Tl2 0.7500 0.7500 0.7500
Tc1 0.5000 0.5000 0.5000
Br1 0.2637 0.2637 0.7363
Br2 0.2637 0.7363 0.2637
Br3 0.2637 0.7363 0.7363
Br4 0.7363 0.2637 0.2637
Br5 0.7363 0.2637 0.7363
Br6 0.7363 0.7363 0.2637

Results
- final energy (eV/atom) = -3.36